Cs2RbAg7 | GGA-PBE | optimized geometry

a b c (Å): 7.399 7.399 7.462
angles (deg): 90.00 90.00 133.42
Positions (direct):
Cs 0.159 0.841 0.000
Cs 0.841 0.159 0.000
Rb 0.000 0.000 0.500
Ag 0.000 0.500 0.500
Ag 0.394 0.606 0.310
Ag 0.394 0.606 0.690
Ag 0.500 0.000 0.500
Ag 0.500 0.500 0.000
Ag 0.606 0.394 0.310
Ag 0.606 0.394 0.690

final energy = -2.2159 eV per atom
space group = Cmmm
crystal system = orthorhombic
theoretical density = 6.2 g cm⁻³